Entry from Alexandria via LeMat-Bulk: a relaxed NdSmScTe3 crystal (GGA-PBE).

Lattice parameters (Å, degrees): 4.3254 8.9730 9.9308 104.42 90.00 90.00
Last column: nearest neighbours and their distance in Å.
Fractional coordinates of all 12 atoms:
Sm 0.7500 0.3393 0.8405  6 Te 3.12-3.30
Sm 0.2500 0.6607 0.1595  6 Te 3.12-3.30
Te 0.7500 0.9032 0.1137  1 Sc 2.88, 2 Sm 3.18
Te 0.2500 0.5858 0.8291  3 Sm 3.12-3.18, 2 Nd 3.23
Te 0.2500 0.7465 0.5024  3 Sc 2.91-2.99
Te 0.7500 0.4142 0.1709  3 Sm 3.12-3.18, 2 Nd 3.23
Te 0.2500 0.0968 0.8863  1 Sc 2.88, 2 Sm 3.18
Te 0.7500 0.2535 0.4976  3 Sc 2.91-2.99
Sc 0.7500 0.9102 0.4051  4 Te 2.88-2.99, 2 Sc 3.05
Sc 0.2500 0.0898 0.5949  4 Te 2.88-2.99, 2 Sc 3.05
Nd 0.2500 0.1725 0.2341  7 Te 3.23-3.35
Nd 0.7500 0.8275 0.7659  7 Te 3.23-3.35

Results
- DOS at the Fermi energy (states/eV per atom) = 0.629
- raw total energy (eV/atom) = -5.435
- theoretical density (g/cm³) = 6.43
- energy relative to the elements, uncorrected (eV per atom) = -1.228